DFT (GGA-PBE) results for Cr2TeAu after structural relaxation.

Output
As for the total energy: -0.22438 Ha/atom. The space group is Amm2 (38). The uncorrected formation energy is 0.31 eV per atom. The crystal system is orthorhombic.

a b c (Å): 4.275 5.448 5.448
angles (deg): 40.09 90.00 90.00
Fractional coordinates of all 4 atoms:
Cr 0.000 0.000 0.000
Cr 0.500 0.230 0.230
Te 0.500 0.500 0.500
Au 0.000 0.735 0.735